Here is a relaxed structure of BRuRh2 from Alexandria. Energies are from PBE-GGA.

Cell: 5.076 5.076 10.109 Å, 90.00 90.00 90.00°
Space group I-42d (No. 122)
Unique sites:
B (0.000, 0.000, 0.000) (multiplicity 4)
Ru (0.000, 0.000, 0.500) (multiplicity 4)
Rh (0.183, 0.250, 0.125) (multiplicity 8)

Output
* total DFT energy (no corrections): -7.020 eV per atom
* Fermi-level density of states: 1.05 states/eV/atom
* ρ: 8.10 g cm⁻³
* size of the total moment: 0.0 μB/f.u.
* E_form: 0.644 eV/atom

Here is a relaxed structure of BRu3Rh from Alexandria. Energies are from PBE-GGA.

Cell: 4.042 4.042 4.042 Å, 90.00 90.00 90.00°
Space group Pm-3m (No. 221)
Unique sites:
B (0.000, 0.000, 0.000) (multiplicity 1)
Ru (0.000, 0.000, 0.500) (multiplicity 3)
Rh (0.500, 0.500, 0.500) (multiplicity 1)

Output
* total DFT energy (no corrections): -8.150 eV per atom
* Fermi-level density of states: 0.98 states/eV/atom
* ρ: 10.48 g cm⁻³
* excess energy over the best structure of this formula in the dataset: 0.0000 eV/atom
* size of the total moment: 0.0 μB/f.u.
* E_form: 0.222 eV/atom

Here is a relaxed structure of BRuRh2S from Alexandria. Energies are from PBE-GGA.

Cell: 4.321 4.321 4.311 Å, 90.00 90.00 90.00°
Space group P4/mmm (No. 123)
Unique sites:
B (0.000, 0.000, 0.000) (multiplicity 1)
Ru (0.500, 0.500, 0.000) (multiplicity 1)
Rh (0.000, 0.500, 0.500) (multiplicity 2)
S (0.500, 0.500, 0.500) (multiplicity 1)

Output
* total DFT energy (no corrections): -5.801 eV per atom
* Fermi-level density of states: 1.22 states/eV/atom
* raw formation energy: 1.16 eV per atom
* ρ: 7.21 g cm⁻³
* size of the total moment: 0.0 μB/f.u.

Here is a relaxed structure of ScB2RuRh from Alexandria. Energies are from PBE-GGA.

Cell: 4.232 4.232 4.465 Å, 90.00 90.00 90.00°
Space group P4/mmm (No. 123)
Unique sites:
Sc (0.000, 0.000, 0.000) (multiplicity 1)
B (0.000, 0.500, 0.000) (multiplicity 2)
Ru (0.500, 0.500, 0.500) (multiplicity 1)
Rh (0.000, 0.000, 0.500) (multiplicity 1)

Output
* total DFT energy (no corrections): -5.242 eV per atom
* Fermi-level density of states: 1.41 states/eV/atom
* ρ: 5.62 g cm⁻³
* size of the total moment: 0.0 μB/f.u.
* E_form: 2.020 eV/atom

Here is a relaxed structure of ScBRuRh2 from Alexandria. Energies are from PBE-GGA.

Cell: 4.106 4.106 4.158 Å, 90.00 90.00 90.00°
Space group P4/mmm (No. 123)
Unique sites:
Sc (0.000, 0.000, 0.000) (multiplicity 1)
B (0.500, 0.500, 0.500) (multiplicity 1)
Ru (0.500, 0.500, 0.000) (multiplicity 1)
Rh (0.000, 0.500, 0.500) (multiplicity 2)

Output
* total DFT energy (no corrections): -8.011 eV per atom
* Fermi-level density of states: 0.53 states/eV/atom
* ρ: 8.59 g cm⁻³
* size of the total moment: 0.0 μB/f.u.
* E_form: -0.614 eV/atom

Here is a relaxed structure of ScBRu2Rh from Alexandria. Energies are from PBE-GGA.

Cell: 4.133 4.133 4.109 Å, 90.00 90.00 90.00°
Space group P4/mmm (No. 123)
Unique sites:
Sc (0.000, 0.000, 0.000) (multiplicity 1)
B (0.500, 0.500, 0.500) (multiplicity 1)
Ru (0.000, 0.500, 0.500) (multiplicity 2)
Rh (0.500, 0.500, 0.000) (multiplicity 1)

Output
* total DFT energy (no corrections): -8.255 eV per atom
* Fermi-level density of states: 0.87 states/eV/atom
* ρ: 8.54 g cm⁻³
* size of the total moment: 0.0 μB/f.u.
* E_form: -0.473 eV/atom

Here is a relaxed structure of Sc2B2Ru5Rh from Alexandria. Energies are from PBE-GGA.

Cell: 9.504 9.504 2.992 Å, 90.00 90.00 90.00°
Space group P4/mbm (No. 127)
Unique sites:
Sc (0.176, 0.324, 0.000) (multiplicity 4)
B (0.121, 0.621, 0.000) (multiplicity 4)
Ru (0.000, 0.500, 0.500) (multiplicity 2)
Ru (0.072, 0.780, 0.500) (multiplicity 8)
Rh (0.000, 0.000, 0.000) (multiplicity 2)

Output
* total DFT energy (no corrections): -8.417 eV per atom
* Fermi-level density of states: 0.63 states/eV/atom
* ρ: 8.85 g cm⁻³
* size of the total moment: 0.0 μB/f.u.
* E_form: -0.442 eV/atom

Here is a relaxed structure of Sc2BRuRh from Alexandria. Energies are from PBE-GGA.

Cell: 4.900 4.900 4.595 Å, 90.00 90.00 90.00°
Space group P4/mmm (No. 123)
Unique sites:
Sc (0.000, 0.500, 0.000) (multiplicity 2)
B (0.000, 0.000, 0.500) (multiplicity 1)
Ru (0.500, 0.500, 0.500) (multiplicity 1)
Rh (0.500, 0.500, 0.000) (multiplicity 1)

Output
* total DFT energy (no corrections): -6.139 eV per atom
* Fermi-level density of states: 0.78 states/eV/atom
* ρ: 4.59 g cm⁻³
* size of the total moment: 0.0 μB/f.u.
* E_form: 1.055 eV/atom

Here is a relaxed structure of BRuRh2Se from Alexandria. Energies are from PBE-GGA.

Cell: 4.742 4.742 4.623 Å, 90.00 90.00 90.00°
Space group P4/mmm (No. 123)
Unique sites:
B (0.000, 0.000, 0.000) (multiplicity 1)
Ru (0.500, 0.500, 0.500) (multiplicity 1)
Rh (0.000, 0.500, 0.500) (multiplicity 2)
Se (0.500, 0.500, 0.000) (multiplicity 1)

Output
* total DFT energy (no corrections): -5.006 eV per atom
* Fermi-level density of states: 1.08 states/eV/atom
* raw formation energy: 1.82 eV per atom
* ρ: 6.34 g cm⁻³
* excess energy over the best structure of this formula in the dataset: 0.6084 eV/atom
* size of the total moment: 0.0 μB/f.u.

Here is a relaxed structure of BRuRh2Se from Alexandria. Energies are from PBE-GGA.

Cell: 4.777 4.777 3.944 Å, 90.00 90.00 90.00°
Space group P4/mmm (No. 123)
Unique sites:
B (0.000, 0.000, 0.000) (multiplicity 1)
Ru (0.000, 0.000, 0.500) (multiplicity 1)
Rh (0.000, 0.500, 0.500) (multiplicity 2)
Se (0.500, 0.500, 0.000) (multiplicity 1)

Output
* total DFT energy (no corrections): -5.615 eV per atom
* Fermi-level density of states: 1.04 states/eV/atom
* raw formation energy: 1.21 eV per atom
* ρ: 7.32 g cm⁻³
* excess energy over the best structure of this formula in the dataset: 0.0000 eV/atom
* size of the total moment: 0.0 μB/f.u.

Here is a relaxed structure of SiBRuRh from Alexandria. Energies are from PBE-GGA.

Cell: 5.682 5.682 5.682 Å, 90.00 90.00 90.00°
Space group F-43m (No. 216)
Unique sites:
Si (0.000, 0.000, 0.000) (multiplicity 4)
B (0.000, 0.000, 0.500) (multiplicity 4)
Ru (0.250, 0.250, 0.250) (multiplicity 4)
Rh (0.250, 0.250, 0.750) (multiplicity 4)

Output
* total DFT energy (no corrections): -7.410 eV per atom
* Fermi-level density of states: 0.21 states/eV/atom
* raw formation energy: -0.23 eV per atom
* ρ: 8.79 g cm⁻³
* size of the total moment: 0.0 μB/f.u.

Here is a relaxed structure of SnB2RuRh from Alexandria. Energies are from PBE-GGA.

Cell: 3.946 3.946 5.429 Å, 90.00 90.00 90.00°
Space group P4/mmm (No. 123)
Unique sites:
Sn (0.000, 0.000, 0.000) (multiplicity 1)
B (0.000, 0.500, 0.500) (multiplicity 2)
Ru (0.500, 0.500, 0.000) (multiplicity 1)
Rh (0.000, 0.000, 0.500) (multiplicity 1)

Output
* total DFT energy (no corrections): -5.724 eV per atom
* Fermi-level density of states: 1.04 states/eV/atom
* ρ: 6.76 g cm⁻³
* size of the total moment: 1.1 μB/f.u.
* E_form: 1.073 eV/atom

Here is a relaxed structure of SnBRuRh2 from Alexandria. Energies are from PBE-GGA.

Cell: 4.133 4.133 4.165 Å, 90.00 90.00 90.00°
Space group P4/mmm (No. 123)
Unique sites:
Sn (0.000, 0.000, 0.000) (multiplicity 1)
B (0.500, 0.500, 0.500) (multiplicity 1)
Ru (0.500, 0.500, 0.000) (multiplicity 1)
Rh (0.000, 0.500, 0.500) (multiplicity 2)

Output
* total DFT energy (no corrections): -7.218 eV per atom
* Fermi-level density of states: 0.68 states/eV/atom
* ρ: 10.19 g cm⁻³
* size of the total moment: 0.0 μB/f.u.
* E_form: -0.286 eV/atom

Here is a relaxed structure of ThBRu2Rh from Alexandria. Energies are from PBE-GGA.

Cell: 4.284 4.284 4.232 Å, 90.00 90.00 90.00°
Space group P4/mmm (No. 123)
Unique sites:
Th (0.000, 0.000, 0.000) (multiplicity 1)
B (0.500, 0.500, 0.500) (multiplicity 1)
Ru (0.000, 0.500, 0.500) (multiplicity 2)
Rh (0.500, 0.500, 0.000) (multiplicity 1)

Output
* total DFT energy (no corrections): -8.621 eV per atom
* Fermi-level density of states: 0.47 states/eV/atom
* ρ: 11.72 g cm⁻³
* size of the total moment: 0.0 μB/f.u.
* E_form: -0.621 eV/atom

Here is a relaxed structure of ThBRuRh2 from Alexandria. Energies are from PBE-GGA.

Cell: 4.266 4.266 4.282 Å, 90.00 90.00 90.00°
Space group P4/mmm (No. 123)
Unique sites:
Th (0.000, 0.000, 0.000) (multiplicity 1)
B (0.500, 0.500, 0.500) (multiplicity 1)
Ru (0.500, 0.500, 0.000) (multiplicity 1)
Rh (0.000, 0.500, 0.500) (multiplicity 2)

Output
* total DFT energy (no corrections): -8.361 eV per atom
* Fermi-level density of states: 0.85 states/eV/atom
* ρ: 11.72 g cm⁻³
* size of the total moment: 0.0 μB/f.u.
* E_form: -0.746 eV/atom

Here is a relaxed structure of TiBRuRh from Alexandria. Energies are from PBE-GGA.

Cell: 5.823 5.823 5.823 Å, 90.00 90.00 90.00°
Space group F-43m (No. 216)
Unique sites:
Ti (0.000, 0.000, 0.000) (multiplicity 4)
B (0.000, 0.000, 0.500) (multiplicity 4)
Ru (0.250, 0.250, 0.750) (multiplicity 4)
Rh (0.250, 0.250, 0.250) (multiplicity 4)

Output
* total DFT energy (no corrections): -8.145 eV per atom
* Fermi-level density of states: 0.07 states/eV/atom
* ρ: 8.84 g cm⁻³
* size of the total moment: 0.0 μB/f.u.
* E_form: -0.345 eV/atom

Here is a relaxed structure of TmBRuRh2 from Alexandria. Energies are from PBE-GGA.

Cell: 4.168 4.168 4.207 Å, 90.00 90.00 90.00°
Space group P4/mmm (No. 123)
Unique sites:
Tm (0.000, 0.000, 0.000) (multiplicity 1)
B (0.500, 0.500, 0.500) (multiplicity 1)
Ru (0.500, 0.500, 0.000) (multiplicity 1)
Rh (0.000, 0.500, 0.500) (multiplicity 2)

Output
* total DFT energy (no corrections): -7.683 eV per atom
* Fermi-level density of states: 0.58 states/eV/atom
* ρ: 11.05 g cm⁻³
* size of the total moment: 0.0 μB/f.u.
* E_form: -0.658 eV/atom

Here is a relaxed structure of YB2RuRh from Alexandria. Energies are from PBE-GGA.

Cell: 3.911 3.911 9.415 Å, 90.00 90.00 90.00°
Space group I-4m2 (No. 119)
Unique sites:
Y (0.000, 0.000, 0.000) (multiplicity 2)
B (0.000, 0.000, 0.340) (multiplicity 4)
Ru (0.000, 0.500, 0.250) (multiplicity 2)
Rh (0.000, 0.500, 0.750) (multiplicity 2)

Output
* total DFT energy (no corrections): -7.891 eV per atom
* Fermi-level density of states: 0.14 states/eV/atom
* ρ: 7.25 g cm⁻³
* size of the total moment: 0.0 μB/f.u.
* E_form: -0.602 eV/atom

Here is a relaxed structure of YBRu2Rh from Alexandria. Energies are from PBE-GGA.

Cell: 4.215 4.215 4.195 Å, 90.00 90.00 90.00°
Space group P4/mmm (No. 123)
Unique sites:
Y (0.000, 0.000, 0.000) (multiplicity 1)
B (0.500, 0.500, 0.500) (multiplicity 1)
Ru (0.000, 0.500, 0.500) (multiplicity 2)
Rh (0.500, 0.500, 0.000) (multiplicity 1)

Output
* total DFT energy (no corrections): -8.255 eV per atom
* Fermi-level density of states: 0.74 states/eV/atom
* ρ: 9.02 g cm⁻³
* size of the total moment: 0.0 μB/f.u.
* E_form: -0.446 eV/atom

Here is a relaxed structure of ZrBRuRh2 from Alexandria. Energies are from PBE-GGA.

Cell: 4.127 4.127 4.166 Å, 90.00 90.00 90.00°
Space group P4/mmm (No. 123)
Unique sites:
Zr (0.000, 0.000, 0.000) (multiplicity 1)
B (0.500, 0.500, 0.500) (multiplicity 1)
Ru (0.500, 0.500, 0.000) (multiplicity 1)
Rh (0.000, 0.500, 0.500) (multiplicity 2)

Output
* total DFT energy (no corrections): -8.483 eV per atom
* Fermi-level density of states: 0.73 states/eV/atom
* ρ: 9.57 g cm⁻³
* size of the total moment: 0.0 μB/f.u.
* E_form: -0.642 eV/atom